Entry from Alexandria via LeMat-Bulk: a relaxed KLi2Ag crystal (PBE).

SG = R-3m, No. 166
energy of formation from the pure elements = -0.005 eV per atom
Fermi-level density of states = 0.4734 states/eV per atom
E_tot = -7.80 eV/cell

Cell lengths 6.7227, 6.7227, 6.7227 Å; angles 40.77, 40.77, 40.77 degrees
With the nearest neighbours (Å) after each atom.
Fractional coordinates of all 4 atoms:
Ag (0.2500, 0.2500, 0.2500)  6 Li 2.75
Li (0.9451, 0.9451, 0.9451)  3 Ag 2.75, 3 Li 2.90
K (0.7500, 0.7500, 0.7500)  8 Li 3.60-3.72
Li (0.5549, 0.5549, 0.5549)  3 Ag 2.75, 3 Li 2.90